(1)
# Er4HgTe2S

An optimized crystal structure of Er4HgTe2S (PBE, the Alexandria database).

Results
The total magnetic moment comes out at 0.000 μB/cell. Its crystal system is monoclinic. The uncorrected formation energy is -1.192 eV per atom.

Cell: 7.362 4.068 7.425 Å, 90.00 107.82 90.00°
Positions (direct):
Er (0.230, 0.000, 0.215)
Er (0.252, 0.500, 0.768)
Er (0.748, 0.500, 0.232)
Er (0.770, 0.000, 0.785)
Hg (0.500, 0.000, 0.000)
Te (0.000, 0.000, 0.500)
Te (0.500, 0.500, 0.500)
S (0.000, 0.500, 0.000)



(2)
# ErHgSb

An optimized crystal structure of ErHgSb (PBE, the Alexandria database).

Results
The total magnetic moment comes out at 0.000 μB/cell. Its crystal system is tetragonal. Its energy above the most stable polymorph in this dataset is 50 meV per atom. The uncorrected formation energy is -0.452 eV per atom.

Cell: 5.484 5.484 5.484 Å, 135.34 135.34 65.01°
Positions (direct):
Er (0.000, 0.000, 0.000)
Hg (0.323, 0.323, 0.000)
Sb (0.647, 0.647, 0.000)



(3)
# Er4HgSb2

An optimized crystal structure of Er4HgSb2 (PBE, the Alexandria database).

Results
The total magnetic moment comes out at 0.000 μB/cell. Its crystal system is monoclinic. The uncorrected formation energy is -0.573 eV per atom.

Cell: 7.977 7.977 7.454 Å, 116.78 116.78 30.17°
Positions (direct):
Er (0.113, 0.113, 0.254)
Er (0.379, 0.379, 0.171)
Er (0.621, 0.621, 0.829)
Er (0.887, 0.887, 0.746)
Hg (0.000, 0.000, 0.500)
Sb (0.239, 0.239, 0.725)
Sb (0.761, 0.761, 0.275)



(4)
# Er7Hg2Sb2

An optimized crystal structure of Er7Hg2Sb2 (PBE, the Alexandria database).

Results
The total magnetic moment comes out at 0.001 μB/cell. Its crystal system is orthorhombic. The uncorrected formation energy is -0.239 eV per atom.

Cell: 6.994 6.994 7.135 Å, 90.00 90.00 100.64°
Positions (direct):
Er (0.000, 0.000, 0.000)
Er (0.000, 0.500, 0.265)
Er (0.000, 0.500, 0.735)
Er (0.500, 0.000, 0.265)
Er (0.500, 0.000, 0.735)
Er (0.500, 0.500, 0.251)
Er (0.500, 0.500, 0.749)
Hg (0.280, 0.720, 0.000)
Hg (0.720, 0.280, 0.000)
Sb (0.204, 0.204, 0.500)
Sb (0.796, 0.796, 0.500)



Q: The highest total magnetic moment belongs to which entry?
A: Er7Hg2Sb2



Q: Which formula does entry 4 have?
A: Er7Hg2Sb2



Q: uncorrected formation energy of number 1 (Er4HgTe2S)?
A: -1.192 eV per atom